(1)
YTa2Sb after structural relaxation. Source: the Alexandria database, functional GGA-PBE.

Its raw total energy is -7.977 eV per atom. The energy relative to the elements, uncorrected is 57.5 kJ/mol of atoms.

It has space group I-42d (No. 122), with a = 8.254 Å, b = 8.254 Å, c = 5.706 Å, α = 90.00°, β = 90.00° and γ = 90.00°. The asymmetric unit holds Y at (0.000, 0.000, 0.000), Ta at (0.207, 0.750, 0.625) and Sb at (0.000, 0.000, 0.500).

(2)
TlC2N after structural relaxation. Source: the Alexandria database, functional GGA-PBE.

The polymorph energy (0 for the lowest one) is 1497 meV/atom. Its raw total energy is -3.725 eV per atom. The energy relative to the elements, uncorrected is 343.5 kJ/mol of atoms.

It has space group Fm-3m (No. 225), with a = 5.748 Å, b = 5.748 Å, c = 5.748 Å, α = 90.00°, β = 90.00° and γ = 90.00°. The asymmetric unit holds Tl at (0.000, 0.000, 0.000), C at (0.250, 0.250, 0.250) and N at (0.000, 0.000, 0.500).

no.,magnetic moment (Bohr magnetons per cell)
1,0.00
2,0.00